[1]
This record from Alexandria via LeMat-Bulk describes LiCaTm2Te4 after structural relaxation. The functional is PBE-GGA.

Unit cell a=7.4749 b=4.3257 c=7.6391 alpha=90.00 beta=109.03 gamma=90.00
Closest atoms and distances in Å follow each position.
Space group P2/m (No. 10)
Symmetry-distinct sites (fractional):
Li 0.0000 0.0000 0.0000 [1 per cell]  6 Te 3.06-3.08
Ca 0.5000 0.5000 0.0000 [1 per cell]  6 Te 3.12
Tm 0.0000 0.5000 0.5000 [1 per cell]  6 Te 3.03-3.04
Tm 0.5000 0.0000 0.5000 [1 per cell]  6 Te 3.09-3.10
Te 0.2419 0.0000 0.7453 [2 per cell]  3 Tm 3.04-3.10, 1 Li 3.06, 2 Ca 3.12
Te 0.2455 0.5000 0.2527 [2 per cell]  3 Tm 3.03-3.09, 2 Li 3.08, 1 Ca 3.12

Values from the calculation:
Raw formation energy: -1040 kJ/mol of formula units
DOS at the Fermi energy: 0.308 states/eV per atom
V: 233.5 Å³/cell

[2]
This record from Alexandria via LeMat-Bulk describes DyYHg4 after structural relaxation. The functional is PBE-GGA.

Unit cell a=3.9795 b=5.4009 c=7.3655 alpha=90.00 beta=105.10 gamma=90.00
Closest atoms and distances in Å follow each position.
Space group P2/m (No. 10)
Symmetry-distinct sites (fractional):
Dy 0.0000 0.0000 0.0000 [1 per cell]  8 Hg 3.10-3.12
Y 0.0000 0.5000 0.5000 [1 per cell]  8 Hg 3.11-3.12
Hg 0.3389 0.5000 0.1641 [2 per cell]  4 Hg 3.02-3.12, 2 Y 3.11, 2 Dy 3.12
Hg 0.3414 0.0000 0.6653 [2 per cell]  4 Hg 3.02-3.14, 2 Dy 3.10-3.11, 2 Y 3.12

Values from the calculation:
Energy of formation: -0.38 eV per atom
DOS at the Fermi energy: 0.439 states/eV per atom
V: 152.8 Å³/cell

[3]
This record from Alexandria via LeMat-Bulk describes Y2Zn3CoNi12 after structural relaxation. The functional is PBE-GGA.

Unit cell a=5.9575 b=5.9575 c=25.7595 alpha=90.00 beta=90.00 gamma=120.00
Closest atoms and distances in Å follow each position.
Space group R-3m (No. 166, hexagonal axes)
Symmetry-distinct sites (fractional):
Y 0.0000 0.0000 0.1514 [6 per cell]  6 Ni 2.89-2.91
Zn 0.0000 0.5000 0.0000 [9 per cell]  6 Ni 2.36-2.55
Co 0.0000 0.0000 0.5000 [3 per cell]  6 Ni 2.29
Ni 0.0485 0.5243 0.0987 [18 per cell]  1 Co 2.29, 4 Ni 2.36-2.55, 1 Zn 2.55
Ni 0.0714 0.5357 0.6143 [18 per cell]  4 Ni 2.34-2.36, 2 Zn 2.36

Values from the calculation:
Energy of formation: 0.12 eV per atom
DOS at the Fermi energy: 1.105 states/eV per atom
V: 791.8 Å³/cell

[4]
This record from Alexandria via LeMat-Bulk describes KZnIr after structural relaxation. The functional is PBE-GGA.

Unit cell a=5.0773 b=5.0773 c=2.6632 alpha=90.00 beta=90.00 gamma=120.00
Closest atoms and distances in Å follow each position.
Space group P-6m2 (No. 187)
Symmetry-distinct sites (fractional):
K 0.0000 0.0000 0.0000 [1 per cell]  2 K 2.66
Zn 0.6667 0.3333 0.5000 [1 per cell]  2 Zn 2.66, 3 Ir 2.93
Ir 0.3333 0.6667 0.5000 [1 per cell]  2 Ir 2.66, 3 Zn 2.93

Values from the calculation:
Energy of formation: 0.60 eV per atom
DOS at the Fermi energy: 0.768 states/eV per atom
V: 59.5 Å³/cell

Q: Look up the V of the fourth one.
A: 59.5 Å³/cell

Q: Which of these has the highest V?
A: Y2Zn3CoNi12

Q: Among the records above, which one has the highest V?
A: Y2Zn3CoNi12

Q: Which value of V does entry 3 give?
A: 791.8 Å³/cell